1.
First-principles (GGA+U) data for a relaxed structure of Mn5Si3O12, as listed in Alexandria.

Geometry as extended XYZ:
```
80
Lattice="-6.6500 5.7604 -5.3142 -0.5595 -9.7409 -3.2320 -2.3255 0.4299 10.0026" Properties=species:S:1:pos:R:3 pbc="T T T"
Mn 0.0000 0.0000 0.0000
Mn -3.3250 2.8802 -2.6571
Mn -0.2798 -4.8705 -1.6160
Mn -1.1628 0.2149 5.0013
Mn -3.6047 -1.9903 -4.2731
Mn -1.4425 -4.6555 3.3853
Mn -4.4877 3.0951 2.3442
Mn -4.7675 -1.7753 0.7282
Mn -3.6055 -6.8145 2.0950
Mn -7.3720 -1.3917 2.7466
Mn -6.3900 -4.6007 1.3525
Mn -6.7498 -0.9403 -4.1693
Mn -6.3309 1.5411 4.6229
Mn -7.6918 -1.9967 -0.8223
Mn -5.9295 3.2639 -0.6387
Mn -2.1630 -2.1590 -1.2902
Mn -3.1451 1.0500 0.1038
Mn -2.7852 -2.6104 5.6257
Mn -3.2041 -5.0918 -3.1665
Mn -1.8432 -1.5540 2.2787
Si -1.9022 -7.6958 -0.9917
Si -7.6328 4.1451 2.4480
Si -2.8843 -4.4868 0.4024
Si -4.0871 -0.0064 3.4508
Si -5.7677 -4.1493 -5.5634
Si -3.2857 -6.2095 5.6640
Si -4.5876 -3.6055 3.4891
Si -5.4479 -3.5443 -1.9944
Si -6.2493 2.6588 -4.2076
Si -3.7673 0.5986 7.0197
Si -6.6507 0.9361 1.0540
Si -4.9474 0.0549 -2.0327
O -6.2781 3.4510 3.1082
O -2.8569 -8.6950 3.1614
O -6.4180 -0.6854 0.7909
O -5.7138 -3.0753 -0.4253
O -6.2712 1.2612 -5.1015
O -1.9762 -7.9129 0.6516
O -7.1837 -1.0036 -6.4146
O -4.2597 1.6309 3.6557
O -4.2747 -5.3915 0.4334
O -9.0440 -1.6895 0.9972
O -2.0119 -5.2538 1.5870
O -5.5260 -0.5323 4.0877
O -8.0705 -3.5698 2.7870
O -5.2725 -2.6272 -5.1268
O -2.5658 -6.0806 4.1747
O -4.5995 -0.4253 -3.5823
O -7.4015 0.8858 2.5327
O -6.5898 -0.1797 -2.0177
O -6.7937 -2.9018 -2.7218
O -8.2525 -4.1870 0.0903
O -5.0609 -5.1547 3.1302
O -4.7191 1.8231 6.4304
O -6.9414 3.3748 5.8471
O -5.4088 -2.7711 2.3135
O -3.2569 -7.0017 -1.6518
O -6.6781 5.1444 -1.7050
O -3.1171 -2.8653 0.6654
O -3.8212 -0.4754 1.8817
O -3.2638 -4.8119 6.5578
O -7.5588 4.3622 0.8048
O -2.3513 -2.5471 7.8710
O -5.2753 -5.1816 -2.1993
O -5.2604 1.8409 1.0229
O -0.4910 -1.8612 0.4591
O -7.5231 1.7031 -0.1307
O -4.0090 -3.0183 -2.6313
O -1.4645 0.0191 -1.3307
O -4.2625 -0.9235 6.5831
O -6.9692 2.5299 -2.7184
O -4.9355 -3.1254 5.0387
O -2.1335 -4.4365 -1.0763
O -2.9452 -3.3710 3.4740
O -2.7414 -0.6489 4.1781
O -1.2825 0.6363 1.3661
O -4.4741 1.6040 -1.6739
O -4.8159 -5.3738 -4.9740
O -2.5936 -6.9255 -4.3907
O -4.1263 -0.7796 -0.8571
```

Results
As for the calculated total energy: -615.78 eV per cell.

***

2.
First-principles (GGA+U) data for a relaxed structure of Mn5Si2O10, as listed in Alexandria.

Geometry as extended XYZ:
```
34
Lattice="-1.5452 -4.5756 -0.6201 3.3530 -0.1402 -7.3199 10.0464 -3.5426 1.1062" Properties=species:S:1:pos:R:3 pbc="T T T"
Mn 4.0188 -0.8194 -5.0252
Mn 3.4993 -3.6331 -2.0859
Mn 7.8354 -7.4391 -1.8086
Mn 8.3549 -4.6254 -4.7479
Mn 7.0419 -1.6039 -6.3415
Mn 0.5108 -2.7461 -0.7558
Mn 4.8123 -6.6546 -0.4923
Mn 11.3434 -5.5124 -6.0780
Mn 6.6997 -1.8414 -3.1068
Mn 0.9039 -2.3579 -3.9700
Si 5.0839 -4.0140 -5.1564
Si 2.2780 -0.9011 -2.0174
Si 6.7703 -4.2445 -1.6774
Si 9.5762 -7.3573 -4.8163
O 6.3072 -5.1126 -4.9781
O 10.7067 -4.5132 -1.2478
O 5.5470 -3.1459 -1.8557
O 1.1476 -3.7453 -5.5860
O 4.4118 -4.4181 -6.6294
O 2.4546 -1.9642 -0.7433
O 7.4424 -3.8404 -0.2044
O 9.3996 -6.2943 -6.0905
O 3.9552 -4.4820 -4.0488
O 2.9898 -1.6678 -3.2924
O 7.8991 -3.7765 -2.7850
O 8.8644 -6.5907 -3.5414
O 5.6293 -2.4615 -5.0429
O 1.2324 -3.9348 -2.3317
O 6.2249 -5.7970 -1.7909
O 10.6219 -4.3237 -4.5021
O 3.1499 -1.7108 -6.7168
O 3.5248 -5.2392 -0.7329
O 8.7043 -6.5476 -0.1170
O 8.3294 -3.0193 -6.1009
```

Results
As for the calculated total energy: -265.37 eV per cell.

***

3.
First-principles (GGA+U) data for a relaxed structure of Mn2SiO5, as listed in Alexandria.

Geometry as extended XYZ:
```
32
Lattice="-2.7474 -2.6526 4.4946 -6.2596 -2.2820 -5.1730 3.9442 -6.9655 -1.6999" Properties=species:S:1:pos:R:3 pbc="T T T"
Mn -0.6774 -0.6540 1.1082
Mn -2.0700 -1.9985 3.3864
Mn 1.7504 -4.7379 -1.7262
Mn -3.1794 -3.1589 0.0620
Mn -1.8540 -5.2960 -2.2974
Mn -3.2088 -6.6041 -0.0810
Mn -1.8833 -8.7412 -2.4403
Mn -4.0657 -4.5097 -5.1467
Si -0.5458 -2.3601 -1.7265
Si 0.0431 -7.1726 -0.3370
Si -5.1059 -4.7275 -2.0414
Si -1.7695 -6.8875 -5.1464
O 2.9131 -6.2348 -1.8989
O 1.5279 -7.5160 0.3679
O 0.8889 -3.0579 -1.2613
O -1.5023 -2.1682 -0.4217
O -2.9886 -3.6032 2.0098
O 0.1365 -5.8402 -1.2698
O -1.1246 -7.0577 0.7932
O -0.2456 -8.4987 -1.2961
O -1.2002 -3.4834 -2.7894
O -2.5391 -4.8462 -0.5424
O -2.5237 -7.0539 -1.8359
O -1.1152 -5.7642 -4.0836
O -4.8171 -3.4014 -1.0822
O -3.9381 -4.8424 -3.1716
O -5.1992 -6.0600 -1.1086
O -2.0741 -8.2969 -4.3882
O -3.5604 -9.7319 -1.9567
O -3.2043 -6.1897 -5.6117
O -6.5907 -4.3841 -2.7463
O -5.2285 -3.0128 -4.9740
```

Results
As for the calculated total energy: -245.05 eV per cell.

***

4.
First-principles (GGA+U) data for a relaxed structure of Mn3SiO6, as listed in Alexandria.

Geometry as extended XYZ:
```
20
Lattice="-3.4835 0.9759 -3.2397 -1.7851 -4.7373 0.4924 -4.8272 2.4386 5.9614" Properties=species:S:1:pos:R:3 pbc="T T T"
Mn -7.3907 -2.2894 3.6555
Mn -2.6343 -1.8807 -1.3736
Mn -2.7051 0.9666 -0.4413
Mn -5.8308 -0.6640 -1.1900
Mn -2.4136 1.2193 2.9807
Mn -4.2650 -0.6588 4.4042
Si -5.0479 -0.6614 1.6071
Si 0.0000 0.0000 0.0000
O -7.5401 2.3134 3.7900
O -5.9846 0.9107 1.9153
O -4.4637 0.1298 0.0235
O -5.6321 -1.4527 3.1907
O -4.1112 -2.2336 1.2988
O -2.5557 -3.6363 -0.5758
O -3.6747 -0.1634 2.5091
O -1.7128 -0.4875 0.5224
O -5.0118 1.1896 4.5899
O -5.0840 -2.5124 -1.3757
O -8.3830 -0.8354 2.6918
O -6.4211 -1.1595 0.7051
```

Results
As for the excess energy over the best structure of this formula in the dataset: 0.2926 eV per atom. As for the calculated total energy: -146.94 eV per cell.